Tb5Sm2TmMg (PBE-GGA, relaxed); size of the total moment = 0.00 μB per formula unit; DFT formation energy = 0.10 eV per atom; uncorrected energy = -4.198 eV per atom; volume = 287.06 Å³/f.u.
1.0
5.436 0.000 0.000
-2.718 10.036 0.000
0.000 0.000 10.523
Tb Sm Tm Mg
10 4 2 2
direct
0.381 0.762 0.008
0.711 0.423 0.810
0.500 0.999 0.758
0.290 0.579 0.707
0.985 0.971 0.508
0.619 0.238 0.508
0.289 0.577 0.310
0.500 0.001 0.258
0.710 0.421 0.207
0.015 0.029 0.008
0.885 0.770 0.797
0.115 0.230 0.720
0.115 0.230 0.297
0.885 0.770 0.220
0.795 0.590 0.509
0.205 0.410 0.009
0.595 0.190 0.007
0.405 0.810 0.507

***

MgAl2Ir2 (PBE-GGA, relaxed); size of the total moment = 0.00 μB per formula unit; DFT formation energy = -0.74 eV per atom; uncorrected energy = -6.104 eV per atom; volume = 77.36 Å³/f.u.; distance to the lowest polymorph of the same formula = 0.18 kcal/mol of atoms
1.0
-0.407 -7.231 -0.667
7.258 -0.382 -0.288
0.101 -0.274 2.910
Mg Ir Al
2 4 4
direct
0.000 0.000 0.000
0.500 0.500 0.000
0.348 0.848 0.000
0.848 0.652 0.000
0.652 0.152 0.000
0.152 0.348 0.000
0.144 0.644 0.500
0.644 0.856 0.500
0.856 0.356 0.500
0.356 0.144 0.500

***

Rb3BiW (PBE-GGA, relaxed); size of the total moment = 5.98 μB per formula unit; DFT formation energy = 1.31 eV per atom; uncorrected energy = -2.633 eV per atom; volume = 352.10 Å³/f.u.; distance to the lowest polymorph of the same formula = 0.00 kcal/mol of atoms
1.0
7.061 0.000 0.000
0.000 7.061 0.000
0.000 0.000 7.061
Rb Bi W
3 1 1
direct
0.000 0.500 0.000
0.000 0.000 0.500
0.500 0.000 0.000
0.000 0.000 0.000
0.500 0.500 0.500

***

Th2PaRuC4 (PBE-GGA, relaxed); size of the total moment = 0.00 μB per formula unit; DFT formation energy = -0.01 eV per atom; uncorrected energy = -8.828 eV per atom; volume = 130.59 Å³/f.u.
1.0
3.580 0.000 0.000
-1.790 6.003 0.000
0.000 0.000 12.155
Th Pa Ru C
4 2 2 8
direct
0.365 0.731 0.549
0.635 0.269 0.049
0.635 0.269 0.451
0.365 0.731 0.951
0.105 0.211 0.750
0.895 0.789 0.250
0.850 0.699 0.750
0.150 0.301 0.250
0.280 0.559 0.143
0.720 0.441 0.643
0.720 0.441 0.857
0.280 0.559 0.357
0.000 0.000 0.500
0.000 0.000 0.000
0.453 0.906 0.750
0.547 0.094 0.250

***

U5NbP6 (PBE-GGA, relaxed); size of the total moment = 10.31 μB per formula unit; DFT formation energy = -0.95 eV per atom; uncorrected energy = -9.199 eV per atom; volume = 245.67 Å³/f.u.
1.0
6.581 0.182 1.011
1.633 5.647 3.292
0.113 0.070 6.718
P Nb U
6 1 5
direct
0.761 0.079 0.322
0.239 0.599 0.322
0.247 0.237 0.000
0.753 0.763 0.000
0.761 0.401 0.678
0.239 0.921 0.678
0.000 0.000 0.000
0.500 0.171 0.657
0.000 0.335 0.330
0.500 0.500 0.000
0.000 0.665 0.670
0.500 0.829 0.343

***

Tm2Tl3CrSe6 (PBE-GGA, relaxed); size of the total moment = 3.01 μB per formula unit; formation energy (no corrections) = -1.0423 eV per atom; uncorrected energy = -4.923 eV per atom; volume = 324.89 Å³/f.u.
1.0
6.961 0.000 0.001
-3.479 6.029 0.001
-1.160 -2.008 7.740
Tm Tl Cr Se
2 3 1 6
direct
0.334 0.666 0.000
0.666 0.334 0.000
0.175 0.825 0.500
0.825 0.175 0.500
0.500 0.500 0.500
0.000 0.000 0.000
0.936 0.627 0.808
0.756 0.756 0.200
0.064 0.373 0.192
0.627 0.936 0.808
0.244 0.244 0.800
0.373 0.064 0.192

***

Question: Look up the size of the total moment of the first one.
Answer: 0.00 μB per formula unit

***

Question: Look up the uncorrected energy of the first one.
Answer: -4.198 eV per atom